Record 1
DFT (PBE) results for a geometry-optimized BeTlCdHg2 structure.

```
BeTlCdHg2
1.0
-3.599 1.539 2.933
-3.059 0.118 -3.815
-1.291 -4.712 0.890
Be Tl Hg Cd
1 1 2 1
direct
0.000 0.000 0.000
0.500 0.500 0.500
0.000 0.500 0.000
0.500 0.000 0.000
0.000 0.000 0.500
```

Space-group type: P4/mmm
Density of states at the Fermi level in states/eV per cell: 1.7
ΔE_f in eV per atom: 0.17
E_tot in eV/cell: -6.7



Record 2
DFT (PBE) results for a geometry-optimized PuAu11 structure.

```
PuAu11
1.0
-2.884 -4.924 4.936
-3.828 -7.127 -3.579
5.557 -6.335 2.694
Pu Au
2 22
direct
0.500 0.000 0.000
0.250 0.500 0.500
0.429 0.826 0.414
0.669 0.174 0.586
0.000 0.000 0.000
0.750 0.500 0.500
0.375 0.750 0.750
0.875 0.750 0.250
0.875 0.250 0.750
0.875 0.250 0.250
0.429 0.414 0.826
0.004 0.674 0.914
0.593 0.326 0.086
0.669 0.586 0.174
0.746 0.586 0.826
0.157 0.414 0.174
0.081 0.326 0.914
0.321 0.674 0.086
0.321 0.086 0.674
0.746 0.826 0.586
0.157 0.174 0.414
0.081 0.914 0.326
0.004 0.914 0.674
0.593 0.086 0.326
```

Space-group type: I4_1/amd
Density of states at the Fermi level in states/eV per cell: 48.4
ΔE_f in eV per atom: -0.07
E_tot in eV/cell: -102.4



Record 3
DFT (PBE) results for a geometry-optimized SbMoPb2 structure.

```
SbMoPb2
1.0
5.492 0.000 0.000
1.141 5.372 0.000
-3.316 -2.686 3.457
Mo Pb Sb
1 2 1
direct
0.750 0.250 0.500
0.000 0.000 0.000
0.250 0.750 0.500
0.500 0.500 0.000
```

Space-group type: I-4m2
Density of states at the Fermi level in states/eV per cell: 2.7
Formation energy (no corrections) in eV per formula unit: 2.7
E_tot in eV/cell: -19.7